Record 1
Entry from Alexandria via LeMat-Bulk: a geometry-optimized YCu2Pb2 structure (PBE).

POSCAR file:
```
YCu2Pb2
1.0
7.541 0.000 0.000
0.000 7.541 0.000
0.000 0.000 3.889
Cu Pb Y
4 4 2
direct
0.115 0.385 0.000
0.885 0.615 0.000
0.615 0.115 0.000
0.385 0.885 0.000
0.319 0.181 0.500
0.181 0.681 0.500
0.681 0.819 0.500
0.819 0.319 0.500
0.500 0.500 0.000
0.000 0.000 0.000
```

Computed properties:
ρ (g/cm³): 9.47
Formation energy (kJ per mole of atoms): -6.1
Size of the total moment (μB per atom): 0.000
DOS at the Fermi energy (states/eV/f.u.): 2.23
Uncorrected energy (eV per atom): -4.478
Space group: P4/mbm, No. 127



Record 2
Entry from Alexandria via LeMat-Bulk: a geometry-optimized YCu2Pb structure (PBE).

POSCAR file:
```
YCu2Pb
1.0
-0.840 -1.696 2.827
-0.492 -2.821 -1.838
6.770 -1.791 0.936
Pb Cu Y
1 2 1
direct
0.000 0.000 0.452
0.500 0.500 0.204
0.000 0.000 0.047
0.500 0.500 0.796
```

Computed properties:
ρ (g/cm³): 8.59
Formation energy (kJ per mole of atoms): -3.0
Size of the total moment (μB per atom): 0.000
DOS at the Fermi energy (states/eV/f.u.): 2.67
Uncorrected energy (eV per atom): -4.622
Space group: P4mm, No. 99



Record 3
Entry from Alexandria via LeMat-Bulk: a geometry-optimized YCu2Pb structure (PBE).

POSCAR file:
```
YCu2Pb
1.0
-2.512 0.596 -3.371
2.392 -2.326 -2.193
-1.424 -5.102 0.159
Cu Y Pb
2 1 1
direct
0.500 0.058 0.253
0.000 0.193 0.993
0.500 0.771 0.838
0.000 0.478 0.416
```

Computed properties:
ρ (g/cm³): 8.47
Formation energy (kJ per mole of atoms): -13.6
Size of the total moment (μB per atom): 0.000
DOS at the Fermi energy (states/eV/f.u.): 1.84
Uncorrected energy (eV per atom): -4.732
Space group: Pm, No. 6



Record 4
Entry from Alexandria via LeMat-Bulk: a geometry-optimized YCuPb4 structure (PBE).

POSCAR file:
```
YCuPb4
1.0
-0.275 -5.231 -3.615
-2.165 -5.457 2.458
-5.640 -2.303 -1.841
Y Pb Cu
1 4 1
direct
0.750 0.750 0.750
0.873 0.376 0.376
0.376 0.873 0.376
0.376 0.376 0.873
0.376 0.376 0.376
0.000 0.000 0.000
```

Computed properties:
ρ (g/cm³): 8.94
Formation energy (kJ per mole of atoms): 27.5
Size of the total moment (μB per atom): 0.000
DOS at the Fermi energy (states/eV/f.u.): 3.83
Uncorrected energy (eV per atom): -3.947
Space group: F-43m, No. 216



Record 5
Entry from Alexandria via LeMat-Bulk: a geometry-optimized YCu2Pb structure (PBE).

POSCAR file:
```
YCu2Pb
1.0
-2.633 0.316 3.658
2.848 -2.665 2.280
4.807 6.196 5.715
Cu Pb Y
4 2 2
direct
0.744 0.125 0.250
0.875 0.994 0.750
0.375 0.256 0.750
0.006 0.625 0.250
0.000 0.000 0.000
0.750 0.250 0.500
0.250 0.750 0.500
0.500 0.500 0.000
```

Computed properties:
ρ (g/cm³): 7.52
Formation energy (kJ per mole of atoms): 13.9
Size of the total moment (μB per atom): 0.000
DOS at the Fermi energy (states/eV/f.u.): 1.51
Uncorrected energy (eV per atom): -4.447
Space group: I-42d, No. 122



Record 6
Entry from Alexandria via LeMat-Bulk: a geometry-optimized Y2CuPb2 structure (PBE).

POSCAR file:
```
Y2CuPb2
1.0
-3.037 2.557 6.262
3.920 -4.929 3.914
3.525 3.142 0.426
Cu Y Pb
2 4 4
direct
0.500 0.500 0.000
0.000 0.000 0.000
0.168 0.668 0.500
0.332 0.168 0.500
0.832 0.332 0.500
0.668 0.832 0.500
0.854 0.646 0.000
0.646 0.146 0.000
0.146 0.354 0.000
0.354 0.854 0.000
```

Computed properties:
ρ (g/cm³): 8.35
Formation energy (kJ per mole of atoms): -28.1
Size of the total moment (μB per atom): 0.000
DOS at the Fermi energy (states/eV/f.u.): 3.67
Uncorrected energy (eV per atom): -5.179
Space group: P4/mbm, No. 127



Record 7
Entry from Alexandria via LeMat-Bulk: a geometry-optimized Y2Cu2Pb structure (PBE).

POSCAR file:
```
Y2Cu2Pb
1.0
3.539 0.000 0.000
0.000 3.539 0.000
1.770 1.770 9.156
Cu Y Pb
2 2 1
direct
0.250 0.750 0.500
0.750 0.250 0.500
0.620 0.620 0.759
0.380 0.380 0.241
0.000 0.000 0.000
```

Computed properties:
ρ (g/cm³): 7.41
Formation energy (kJ per mole of atoms): -16.3
Size of the total moment (μB per atom): 0.073
DOS at the Fermi energy (states/eV/f.u.): 3.01
Uncorrected energy (eV per atom): -5.135
Space group: I4/mmm, No. 139



Record 8
Entry from Alexandria via LeMat-Bulk: a geometry-optimized YCu2Pb structure (PBE).

POSCAR file:
```
YCu2Pb
1.0
4.267 -0.003 0.015
2.140 3.692 0.015
2.119 1.220 5.402
Cu Pb Y
2 1 1
direct
0.716 0.716 0.851
0.045 0.045 0.865
0.471 0.471 0.588
0.268 0.268 0.196
```

Computed properties:
ρ (g/cm³): 8.27
Formation energy (kJ per mole of atoms): -13.8
Size of the total moment (μB per atom): 0.000
DOS at the Fermi energy (states/eV/f.u.): 2.22
Uncorrected energy (eV per atom): -4.734
Space group: R3m, No. 160



Record 9
Entry from Alexandria via LeMat-Bulk: a geometry-optimized YCu2Pb structure (PBE).

POSCAR file:
```
YCu2Pb
1.0
3.592 0.000 0.000
0.000 3.668 0.018
0.000 3.632 6.408
Cu Y Pb
2 1 1
direct
0.000 0.027 0.973
0.000 0.473 0.527
0.500 0.750 0.750
0.500 0.250 0.250
```

Computed properties:
ρ (g/cm³): 8.35
Formation energy (kJ per mole of atoms): -8.2
Size of the total moment (μB per atom): 0.000
DOS at the Fermi energy (states/eV/f.u.): 0.85
Uncorrected energy (eV per atom): -4.676
Space group: Pmmm, No. 47



Record 10
Entry from Alexandria via LeMat-Bulk: a geometry-optimized YCu3Pb structure (PBE).

POSCAR file:
```
YCu3Pb
1.0
-2.791 0.217 -4.276
-1.727 -4.728 0.887
-3.918 1.929 2.656
Cu Y Pb
3 1 1
direct
0.000 0.500 0.000
0.000 0.000 0.500
0.500 0.000 0.000
0.000 0.000 0.000
0.500 0.500 0.500
```

Computed properties:
ρ (g/cm³): 6.05
Formation energy (kJ per mole of atoms): 93.0
Size of the total moment (μB per atom): 0.000
DOS at the Fermi energy (states/eV/f.u.): 4.48
Uncorrected energy (eV per atom): -3.528
Space group: Pm-3m, No. 221



Record 11
Entry from Alexandria via LeMat-Bulk: a geometry-optimized YCu2Pb structure (PBE).

POSCAR file:
```
YCu2Pb
1.0
-3.848 -4.076 -2.021
1.749 -5.327 -2.017
0.501 3.696 4.647
Y Pb Cu
1 1 2
direct
0.227 0.727 0.500
0.500 0.500 0.000
0.812 0.312 0.500
0.961 0.961 0.000
```

Computed properties:
ρ (g/cm³): 8.23
Formation energy (kJ per mole of atoms): -3.7
Size of the total moment (μB per atom): 0.000
DOS at the Fermi energy (states/eV/f.u.): 2.73
Uncorrected energy (eV per atom): -4.629
Space group: Imm2, No. 44



Record 12
Entry from Alexandria via LeMat-Bulk: a geometry-optimized YCu3Pb structure (PBE).

POSCAR file:
```
YCu3Pb
1.0
4.871 0.000 0.000
0.000 4.871 0.000
0.000 0.000 4.871
Cu Pb Y
3 1 1
direct
0.000 0.500 0.000
0.000 0.000 0.500
0.500 0.000 0.000
0.000 0.000 0.000
0.500 0.500 0.500
```

Computed properties:
ρ (g/cm³): 6.99
Formation energy (kJ per mole of atoms): 52.8
Size of the total moment (μB per atom): 0.000
DOS at the Fermi energy (states/eV/f.u.): 4.01
Uncorrected energy (eV per atom): -3.945
Space group: Pm-3m, No. 221



no.,V (Å³ per cell)
1,221
2,82
3,83
4,182
5,187
6,261
7,115
8,85
9,84
10,134
11,85
12,116